(1)
Density functional theory data (PBE) for a geometry-optimized KTmGeSe3 structure.

The volume comes out at 30.32 Å³ per atom. For the magnetic moment, the calculation gives 0.0 μB per formula unit. The value obtained for the relative energy among the computed polymorphs is 166 meV/atom.

The structure belongs to space group Cmcm (No. 63); the cell edges are 4.3282, 14.9089 and 11.2783 Å and the angles 90.00°, 90.00° and 90.00°. The inequivalent atoms are K at (0.0000, 0.2474, 0.2500), Tm at (0.0000, 0.5000, 0.0000), Ge at (0.0000, 0.0401, 0.7500), Se at (0.0000, 0.1248, 0.5400) and Se at (0.0000, 0.4379, 0.7500).

***

(2)
Density functional theory data (PBE) for a geometry-optimized KTmGeSe3 structure.

The volume comes out at 30.01 Å³ per atom. For the magnetic moment, the calculation gives 0.0 μB per formula unit. The value obtained for the relative energy among the computed polymorphs is 0 meV/atom.

The structure belongs to space group Pnma (No. 62); the cell edges are 15.4860, 4.0215 and 11.5636 Å and the angles 90.00°, 90.00° and 90.00°. The inequivalent atoms are K at (0.2290, 0.2500, 0.0743), Tm at (0.0087, 0.7500, 0.6499), Ge at (0.0348, 0.2500, 0.9178), Se at (0.0852, 0.7500, 0.2251), Se at (0.1044, 0.2500, 0.5396) and Se at (0.1292, 0.7500, 0.8379).

***

(3)
Density functional theory data (PBE) for a geometry-optimized KZrGeSe3 structure.

The volume comes out at 28.90 Å³ per atom. The total energy is -4.9516 eV/atom. For the magnetic moment, the calculation gives 0.3 μB per formula unit.

The structure belongs to space group Cmcm (No. 63); the cell edges are 3.9918, 15.2844 and 11.3680 Å and the angles 90.00°, 90.00° and 90.00°. The inequivalent atoms are K at (0.0000, 0.1997, 0.2500), Zr at (0.0000, 0.5000, 0.0000), Ge at (0.0000, 0.1052, 0.7500), Se at (0.0000, 0.1217, 0.5085) and Se at (0.0000, 0.5004, 0.2500).

***

(4)
Density functional theory data (PBE) for a geometry-optimized KTa3Ge5 structure.

The volume comes out at 20.86 Å³ per atom. The total energy is -6.7219 eV/atom. For the magnetic moment, the calculation gives 0.0 μB per formula unit.

The structure belongs to space group P6/mmm (No. 191); the cell edges are 5.6971, 5.6971 and 6.6796 Å and the angles 90.00°, 90.00° and 120.00°. The inequivalent atoms are K at (0.0000, 0.0000, 0.0000), Ta at (0.0000, 0.5000, 0.5000), Ge at (0.0000, 0.0000, 0.5000) and Ge at (0.3333, 0.6667, 0.1847).